First-principles (PBE-GGA) data for a geometry-optimized ZnCuPt4 structure, as listed in Alexandria.

a b c (Å): 7.1350 7.1306 5.8566
angles (deg): 65.80 65.72 48.48
Fractional positions:
Zn 0.1250 0.1250 0.1250
Zn 0.8750 0.8750 0.8750
Cu 0.3750 0.3750 0.3750
Cu 0.6250 0.6250 0.6250
Pt 0.0001 0.5000 0.2527
Pt 0.9999 0.5000 0.7473
Pt 0.2527 0.7473 0.0001
Pt 0.2527 0.7473 0.5000
Pt 0.5000 0.9999 0.2527
Pt 0.5000 0.0001 0.7473
Pt 0.7473 0.2527 0.9999
Pt 0.7473 0.2527 0.5000

Computed properties:
Raw total energy in eV per atom: -4.881

First-principles (PBE-GGA) data for a geometry-optimized Zn2CuPt8 structure, as listed in Alexandria.

a b c (Å): 7.1399 7.1399 7.1399
angles (deg): 146.96 119.33 70.84
Fractional positions:
Zn 0.1898 0.1898 0.0000
Zn 0.8102 0.8102 0.0000
Cu 0.5000 0.5000 0.0000
Pt 0.0723 0.3417 0.7306
Pt 0.1981 0.0000 0.1981
Pt 0.3517 0.8517 0.5000
Pt 0.3889 0.6583 0.7306
Pt 0.6111 0.3417 0.2694
Pt 0.6483 0.1483 0.5000
Pt 0.8019 0.0000 0.8019
Pt 0.9277 0.6583 0.2694

Computed properties:
Raw total energy in eV per atom: -5.171

First-principles (PBE-GGA) data for a geometry-optimized ZnCu2Pt6 structure, as listed in Alexandria.

a b c (Å): 7.1066 7.1066 4.1174
angles (deg): 106.58 106.58 48.76
Fractional positions:
Zn 0.0000 0.0000 0.0000
Cu 0.3337 0.3337 0.3329
Cu 0.6663 0.6663 0.6671
Pt 0.0838 0.5801 0.8313
Pt 0.2516 0.7484 0.5000
Pt 0.4199 0.9162 0.1687
Pt 0.5801 0.0838 0.8313
Pt 0.7484 0.2516 0.5000
Pt 0.9162 0.4199 0.1687

Computed properties:
Raw total energy in eV per atom: -4.974

First-principles (PBE-GGA) data for a geometry-optimized ZnCu2Pt structure, as listed in Alexandria.

a b c (Å): 5.2762 7.3878 2.7826
angles (deg): 90.00 90.00 90.00
Fractional positions:
Zn 0.0000 0.0000 0.0000
Zn 0.5000 0.5000 0.0000
Cu 0.2500 0.2500 0.5000
Cu 0.2500 0.7500 0.5000
Cu 0.7500 0.2500 0.5000
Cu 0.7500 0.7500 0.5000
Pt 0.0000 0.5000 0.0000
Pt 0.5000 0.0000 0.0000

Computed properties:
Raw total energy in eV per atom: -4.086

First-principles (PBE-GGA) data for a geometry-optimized Zn6Cu10Pt structure, as listed in Alexandria.

a b c (Å): 7.1607 7.1607 5.0788
angles (deg): 90.00 90.00 120.00
Fractional positions:
Zn 0.0000 0.3486 0.3223
Zn 0.0000 0.6514 0.6777
Zn 0.3486 0.0000 0.3223
Zn 0.3486 0.3486 0.6777
Zn 0.6514 0.0000 0.6777
Zn 0.6514 0.6514 0.3223
Cu 0.0000 0.3108 0.8368
Cu 0.0000 0.6892 0.1632
Cu 0.3108 0.0000 0.8368
Cu 0.3108 0.3108 0.1632
Cu 0.3333 0.6667 0.0000
Cu 0.3333 0.6667 0.5000
Cu 0.6667 0.3333 0.0000
Cu 0.6667 0.3333 0.5000
Cu 0.6892 0.0000 0.1632
Cu 0.6892 0.6892 0.8368
Pt 0.0000 0.0000 0.5000

Computed properties:
Raw total energy in eV per atom: -3.276

First-principles (PBE-GGA) data for a geometry-optimized ZnCu2Pt structure, as listed in Alexandria.

a b c (Å): 2.8275 2.8275 6.7086
angles (deg): 90.00 90.00 90.00
Fractional positions:
Zn 0.0000 0.0000 0.0000
Cu 0.0000 0.0000 0.4748
Cu 0.5000 0.5000 0.2471
Pt 0.5000 0.5000 0.7377

Computed properties:
Raw total energy in eV per atom: -4.089

First-principles (PBE-GGA) data for a geometry-optimized Zn2Cu7Pt3 structure, as listed in Alexandria.

a b c (Å): 2.7878 4.0714 15.2056
angles (deg): 90.00 95.17 90.00
Fractional positions:
Zn 0.1370 0.0000 0.2759
Zn 0.8630 0.0000 0.7241
Cu 0.0822 0.5000 0.1671
Cu 0.2167 0.0000 0.4339
Cu 0.4308 0.0000 0.8600
Cu 0.5000 0.5000 0.0000
Cu 0.5692 0.0000 0.1400
Cu 0.7833 0.0000 0.5661
Cu 0.9178 0.5000 0.8329
Pt 0.0000 0.0000 0.0000
Pt 0.3268 0.5000 0.6523
Pt 0.6732 0.5000 0.3477

Computed properties:
Raw total energy in eV per atom: -4.110

First-principles (PBE-GGA) data for a geometry-optimized ZnCu2Pt6 structure, as listed in Alexandria.

a b c (Å): 8.2022 8.2022 3.9340
angles (deg): 90.00 90.00 90.00
Fractional positions:
Zn 0.0000 0.0000 0.0000
Zn 0.5000 0.5000 0.5000
Cu 0.1727 0.1727 0.5000
Cu 0.3273 0.6727 0.0000
Cu 0.6727 0.3273 0.0000
Cu 0.8273 0.8273 0.5000
Pt 0.0037 0.3274 0.0000
Pt 0.1576 0.8424 0.5000
Pt 0.1726 0.5037 0.5000
Pt 0.3274 0.0037 0.0000
Pt 0.3424 0.3424 0.0000
Pt 0.4963 0.8274 0.5000
Pt 0.5037 0.1726 0.5000
Pt 0.6576 0.6576 0.0000
Pt 0.6726 0.9963 0.0000
Pt 0.8274 0.4963 0.5000
Pt 0.8424 0.1576 0.5000
Pt 0.9963 0.6726 0.0000

Computed properties:
Raw total energy in eV per atom: -5.303

First-principles (PBE-GGA) data for a geometry-optimized Zn2Cu5Pt2 structure, as listed in Alexandria.

a b c (Å): 6.4175 6.4175 8.6107
angles (deg): 132.08 132.08 34.71
Fractional positions:
Zn 0.2253 0.2253 0.3326
Zn 0.7747 0.7747 0.6674
Cu 0.0701 0.0701 0.9288
Cu 0.0752 0.0752 0.4496
Cu 0.5000 0.5000 0.0000
Cu 0.9248 0.9248 0.5504
Cu 0.9299 0.9299 0.0712
Pt 0.2302 0.2302 0.8485
Pt 0.7698 0.7698 0.1515

Computed properties:
Raw total energy in eV per atom: -3.770

First-principles (PBE-GGA) data for a geometry-optimized ZnCuPt structure, as listed in Alexandria.

a b c (Å): 2.8075 3.6908 8.0782
angles (deg): 90.00 90.00 90.00
Fractional positions:
Zn 0.0000 0.0000 0.0000
Zn 0.5000 0.5000 0.5000
Cu 0.0000 0.0000 0.6650
Cu 0.5000 0.5000 0.1650
Pt 0.0000 0.0000 0.3334
Pt 0.5000 0.5000 0.8334

Computed properties:
Raw total energy in eV per atom: -4.140

First-principles (PBE-GGA) data for a geometry-optimized Zn6Cu3Pt structure, as listed in Alexandria.

a b c (Å): 6.8265 6.2122 9.6212
angles (deg): 90.00 134.49 90.00
Fractional positions:
Zn 0.0502 0.1494 0.3021
Zn 0.0502 0.3506 0.8021
Zn 0.2184 0.1298 0.6597
Zn 0.2184 0.3702 0.1597
Zn 0.4098 0.6387 0.8460
Zn 0.4098 0.8613 0.3460
Zn 0.5902 0.1387 0.6540
Zn 0.5902 0.3613 0.1540
Zn 0.7816 0.6298 0.8403
Zn 0.7816 0.8702 0.3403
Zn 0.9498 0.6494 0.1979
Zn 0.9498 0.8506 0.6979
Cu 0.3046 0.6949 0.0482
Cu 0.3046 0.8051 0.5482
Cu 0.5000 0.0000 0.0000
Cu 0.5000 0.5000 0.5000
Cu 0.6954 0.1949 0.4518
Cu 0.6954 0.3051 0.9518
Pt 0.0000 0.0000 0.0000
Pt 0.0000 0.5000 0.5000

Computed properties:
Raw total energy in eV per atom: -2.658

First-principles (PBE-GGA) data for a geometry-optimized Zn16Cu6Pt7 structure, as listed in Alexandria.

a b c (Å): 8.6509 8.6509 8.6509
angles (deg): 60.00 60.00 60.00
Fractional positions:
Zn 0.0529 0.6490 0.6490
Zn 0.1215 0.1215 0.1215
Zn 0.1215 0.1215 0.6356
Zn 0.1215 0.6356 0.1215
Zn 0.3510 0.3510 0.3510
Zn 0.3510 0.3510 0.9471
Zn 0.3510 0.9471 0.3510
Zn 0.3644 0.8785 0.8785
Zn 0.6356 0.1215 0.1215
Zn 0.6490 0.0529 0.6490
Zn 0.6490 0.6490 0.0529
Zn 0.6490 0.6490 0.6490
Zn 0.8785 0.3644 0.8785
Zn 0.8785 0.8785 0.3644
Zn 0.8785 0.8785 0.8785
Zn 0.9471 0.3510 0.3510
Cu 0.3469 0.3469 0.6531
Cu 0.3469 0.6531 0.3469
Cu 0.3469 0.6531 0.6531
Cu 0.6531 0.3469 0.3469
Cu 0.6531 0.3469 0.6531
Cu 0.6531 0.6531 0.3469
Pt 0.0000 0.0000 0.0000
Pt 0.0000 0.0000 0.5000
Pt 0.0000 0.5000 0.0000
Pt 0.0000 0.5000 0.5000
Pt 0.5000 0.0000 0.0000
Pt 0.5000 0.0000 0.5000
Pt 0.5000 0.5000 0.0000

Computed properties:
Raw total energy in eV per atom: -3.229

The following DFT formation energy values (in eV/f.u.) correspond, in order, to the records above: 0.25; -1.92; 0.95; -0.84; -1.04; -0.85; 0.03; -2.01; 1.18; -1.01; -0.60; -6.40.